[1]
DFT (PBE-GGA) results for a relaxed La3Re2C4 crystal.

Cell and atoms, written as POSCAR:
```
La3Re2C4
1.0
5.9070 -4.4681 0.0000
5.9070 4.4681 0.0000
-0.2191 0.0000 5.8969
La Re C
6 4 8
Cartesian
5.7427 3.5823 4.4227
4.4140 1.1826 2.6999
7.2905 1.1826 0.2486
4.3044 -1.1826 5.6484
7.1809 -1.1826 3.1971
5.8522 -3.5823 1.4742
2.2384 1.0905 5.3446
2.3479 -1.0905 2.3961
9.2470 1.0905 3.5008
9.3565 -1.0905 0.5524
1.8739 0.5454 3.4653
4.1642 1.5937 5.8009
1.9834 -0.5454 0.5168
7.3211 1.5937 3.0445
4.2737 -1.5937 2.8524
9.6115 0.5454 5.3801
7.4307 -1.5937 0.0960
9.7210 -0.5454 2.4316
```

The formation energy from the elements is -0.060 eV/atom. Its volume is 311.27 Å³ per cell.

[2]
DFT (PBE-GGA) results for a relaxed La3ReC2 crystal.

Cell and atoms, written as POSCAR:
```
La3ReC2
1.0
4.8661 -3.8962 0.0000
4.8661 3.8962 0.0000
0.0000 0.0000 6.6783
La Re C
6 2 4
Cartesian
2.1861 0.0000 0.0000
2.1861 0.0000 3.3391
4.8661 2.0482 5.0087
4.8661 -2.0482 1.6696
7.5461 0.0000 0.0000
7.5461 0.0000 3.3391
4.8661 1.1618 1.6696
4.8661 -1.1618 5.0087
4.8661 3.1132 1.6696
4.8661 0.0000 0.0000
4.8661 0.0000 3.3391
4.8661 -3.1132 5.0087
```

The formation energy from the elements is -0.032 eV/atom. Its volume is 253.23 Å³ per cell.

[3]
DFT (PBE-GGA) results for a relaxed LaRe2C crystal.

Cell and atoms, written as POSCAR:
```
LaRe2C
1.0
-3.0277 3.0277 4.5034
3.0277 -3.0277 4.5034
3.0277 3.0277 -4.5034
La Re C
2 4 2
Cartesian
0.0000 0.0000 0.0000
0.0000 3.0277 2.2517
1.5138 -0.3152 3.3775
2.7124 1.5138 1.1258
1.5138 3.3429 -1.1258
0.3152 1.5138 5.6292
3.0277 0.0000 2.2517
0.0000 0.0000 4.5034
```

The formation energy from the elements is 0.738 eV/atom. Its volume is 165.13 Å³ per cell.

[4]
DFT (PBE-GGA) results for a relaxed La3ReC3 crystal.

Cell and atoms, written as POSCAR:
```
La3ReC3
1.0
4.5323 -5.4996 0.0000
4.5323 5.4996 0.0000
0.0000 0.0000 5.5589
La Re C
6 2 6
Cartesian
4.5323 4.2825 4.1692
2.6687 1.3161 4.1692
2.6687 -1.3161 1.3897
6.3959 1.3161 4.1692
6.3959 -1.3161 1.3897
4.5323 -4.2825 1.3897
4.5323 2.1728 1.3897
4.5323 -2.1728 4.1692
4.5323 4.1189 1.3897
2.7569 1.3994 1.3897
2.7569 -1.3994 4.1692
6.3078 1.3994 1.3897
6.3078 -1.3994 4.1692
4.5323 -4.1189 4.1692
```

The formation energy from the elements is -0.195 eV/atom. Its volume is 277.12 Å³ per cell.

[5]
DFT (PBE-GGA) results for a relaxed LaReC2 crystal.

Cell and atoms, written as POSCAR:
```
LaReC2
1.0
-2.3999 2.3999 6.0560
2.3999 -2.3999 6.0560
2.3999 2.3999 -6.0560
La Re C
2 2 4
Cartesian
2.3999 1.1999 1.5140
0.0000 1.1999 4.5420
2.3999 -1.1999 4.5420
0.0000 3.5998 1.5140
0.0000 0.0000 0.0000
1.1999 1.1999 -3.0280
1.1999 -1.1999 3.0280
0.0000 2.3999 0.0000
```

The formation energy from the elements is 0.133 eV/atom. Its volume is 139.51 Å³ per cell.

[6]
DFT (PBE-GGA) results for a relaxed La2ReC2 crystal.

Cell and atoms, written as POSCAR:
```
La2ReC2
1.0
5.8596 -2.7639 0.0000
5.8596 2.7639 0.0000
-3.5305 0.0000 5.9700
La Re C
4 2 4
Cartesian
-0.5961 0.0000 1.7320
0.6664 0.0000 5.1521
7.5223 0.0000 0.8179
8.7847 0.0000 4.2380
2.9705 0.0000 2.1970
5.2182 0.0000 3.7730
1.7352 0.0000 0.7058
3.2837 0.0000 4.2594
4.9049 0.0000 1.7106
6.4534 0.0000 5.2642
```

The formation energy from the elements is -0.181 eV/atom. Its volume is 193.37 Å³ per cell.

[7]
DFT (PBE-GGA) results for a relaxed LaReC2 crystal.

Cell and atoms, written as POSCAR:
```
LaReC2
1.0
1.6375 0.9454 5.8183
-1.6375 0.9454 5.8183
0.0000 -1.8908 5.8183
La Re C
1 1 2
Cartesian
0.0000 0.0000 0.0000
0.0000 0.0000 8.7274
0.0000 0.0000 4.0258
0.0000 0.0000 13.4290
```

The formation energy from the elements is 0.282 eV/atom. Its volume is 54.04 Å³ per cell.

[8]
DFT (PBE-GGA) results for a relaxed La2ReSiC crystal.

Cell and atoms, written as POSCAR:
```
La2ReSiC
1.0
5.2686 0.0000 0.0000
0.0000 5.2686 0.0000
0.0000 0.0000 3.9998
La Re Si C
2 1 1 1
Cartesian
0.0000 2.6343 0.0000
2.6343 0.0000 0.0000
0.0000 0.0000 1.9999
2.6343 2.6343 1.9999
0.0000 0.0000 0.0000
```

The formation energy without anion corrections is -11.3 kJ/mol of atoms. Its volume is 111.03 Å³ per cell.

[9]
DFT (PBE-GGA) results for a relaxed LaRe2Si2C crystal.

Cell and atoms, written as POSCAR:
```
LaRe2Si2C
1.0
4.1942 0.0000 0.0000
0.0000 4.1942 0.0000
0.0000 0.0000 5.4036
La Re Si C
1 2 2 1
Cartesian
0.0000 0.0000 0.0000
0.0000 2.0971 2.7018
2.0971 0.0000 2.7018
2.0971 2.0971 1.2082
2.0971 2.0971 4.1954
0.0000 0.0000 2.7018
```

The formation energy without anion corrections is -37.2 kJ/mol of atoms. Its volume is 95.05 Å³ per cell.

[10]
DFT (PBE-GGA) results for a relaxed La2ReSnC crystal.

Cell and atoms, written as POSCAR:
```
La2ReSnC
1.0
5.3764 0.0000 0.0000
0.0000 5.3764 0.0000
0.0000 0.0000 4.0489
La Re Sn C
2 1 1 1
Cartesian
0.0000 2.6882 0.0000
2.6882 0.0000 0.0000
0.0000 0.0000 2.0245
2.6882 2.6882 2.0245
0.0000 0.0000 0.0000
```

The formation energy from the elements is -0.245 eV/atom. Its volume is 117.04 Å³ per cell.

[11]
DFT (PBE-GGA) results for a relaxed SrLaReC2 crystal.

Cell and atoms, written as POSCAR:
```
SrLaReC2
1.0
4.4921 0.0000 0.0000
0.0000 4.4921 0.0000
0.0000 0.0000 6.0901
Sr La Re C
1 1 1 2
Cartesian
0.0000 0.0000 0.0000
0.0000 0.0000 3.0451
2.2461 2.2461 0.0000
0.0000 2.2461 3.0451
2.2461 0.0000 3.0451
```

The formation energy from the elements is 2.967 eV/atom. Its volume is 122.89 Å³ per cell.

[12]
DFT (PBE-GGA) results for a relaxed LaTa2ReC4 crystal.

Cell and atoms, written as POSCAR:
```
LaTa2ReC4
1.0
1.6605 -5.7986 0.0000
1.6605 5.7986 0.0000
0.0000 0.0000 11.2367
La Ta Re C
2 4 2 8
Cartesian
1.6605 4.6571 8.4275
1.6605 -4.6571 2.8092
1.6605 1.4712 6.0518
1.6605 1.4712 10.8033
1.6605 -1.4712 0.4334
1.6605 -1.4712 5.1849
1.6605 3.8693 2.8092
1.6605 -3.8693 8.4275
0.0000 0.0000 0.0000
0.0000 0.0000 5.6183
1.6605 2.7454 1.2156
1.6605 2.7454 4.4028
1.6605 0.8413 8.4275
1.6605 -0.8413 2.8092
1.6605 -2.7454 6.8339
1.6605 -2.7454 10.0211
```

The formation energy from the elements is -0.207 eV/atom. Its volume is 216.39 Å³ per cell.